(1)
{
  "formula": "SrTmAgTe3",
  "functional": "PBE",
  "state": "optimized geometry",
  "space_group": "P2_1/m (11)",
  "e_tot_ev_per_atom": -4.26,
  "lattice_angstrom": [[-1.377, 5.752, -6.028], [-3.467, 1.449, 2.175], [6.374, 4.561, 7.121]],
  "species": ["Ag", "Ag", "Sr", "Sr", "Te", "Te", "Te", "Te", "Te", "Te", "Tm", "Tm"],
  "fractional_positions": [[0.417, 0.750, 0.408], [0.583, 0.250, 0.592], [0.741, 0.250, 0.291], [0.259, 0.750, 0.709], [0.926, 0.750, 0.138], [0.435, 0.750, 0.148], [0.216, 0.250, 0.458], [0.784, 0.750, 0.542], [0.565, 0.250, 0.852], [0.074, 0.250, 0.862], [0.189, 0.250, 0.165], [0.811, 0.750, 0.835]]
}

=====

(2)
{
  "formula": "ErGaNi",
  "functional": "PBE",
  "state": "optimized geometry",
  "space_group": "Pnma (62)",
  "e_tot_ev_per_atom": -5.05,
  "lattice_angstrom": [[-6.020, 1.167, -2.856], [1.788, -0.215, -3.857], [-1.303, -7.215, -0.202]],
  "species": ["Er", "Er", "Er", "Er", "Ga", "Ga", "Ga", "Ga", "Ni", "Ni", "Ni", "Ni"],
  "fractional_positions": [[0.019, 0.750, 0.194], [0.519, 0.750, 0.306], [0.481, 0.250, 0.694], [0.981, 0.250, 0.806], [0.327, 0.250, 0.075], [0.827, 0.250, 0.425], [0.173, 0.750, 0.575], [0.673, 0.750, 0.925], [0.715, 0.250, 0.099], [0.215, 0.250, 0.401], [0.785, 0.750, 0.599], [0.285, 0.750, 0.901]]
}

=====

(3)
{
  "formula": "AcHfAsO",
  "functional": "PBE",
  "state": "optimized geometry",
  "space_group": "P4/nmm (129)",
  "relative_energy_kcal_per_mol_atoms": 0.00,
  "lattice_angstrom": [[-3.852, -0.292, 1.936], [-0.987, -3.401, -2.477], [3.712, -5.817, 6.508]],
  "species": ["Ac", "Ac", "As", "As", "Hf", "Hf", "O", "O"],
  "fractional_positions": [[0.250, 0.250, 0.130], [0.750, 0.750, 0.870], [0.750, 0.750, 0.326], [0.250, 0.250, 0.674], [0.750, 0.250, 0.500], [0.250, 0.750, 0.500], [0.750, 0.250, 0.000], [0.250, 0.750, 0.000]]
}

=====

(4)
{
  "formula": "TmPaTa",
  "functional": "PBE",
  "state": "optimized geometry",
  "delta_e_f_mev_per_atom": 1292,
  "space_group": "F-43m (216)",
  "relative_energy_kcal_per_mol_atoms": 0.00,
  "lattice_angstrom": [[4.245, -0.178, 2.409], [0.225, 1.443, 4.661], [0.659, -3.293, 3.547]],
  "species": ["Pa", "Ta", "Tm"],
  "fractional_positions": [[0.000, 0.000, 0.000], [0.250, 0.250, 0.250], [0.750, 0.750, 0.750]]
}

=====

(5)
{
  "formula": "Co3Ir3W2",
  "functional": "PBE",
  "state": "optimized geometry",
  "delta_e_f_mev_per_atom": -198,
  "space_group": "Amm2 (38)",
  "relative_energy_kcal_per_mol_atoms": 0.48,
  "lattice_angstrom": [[4.284, 0.000, 0.000], [0.000, 2.703, 4.616], [0.000, -2.703, 4.616]],
  "species": ["Co", "Co", "Co", "Ir", "Ir", "Ir", "W", "W"],
  "fractional_positions": [[0.500, 0.165, 0.165], [0.000, 0.842, 0.330], [0.000, 0.330, 0.842], [0.500, 0.674, 0.170], [0.500, 0.170, 0.674], [0.000, 0.834, 0.834], [0.000, 0.324, 0.324], [0.500, 0.661, 0.661]]
}

=====

(6)
{
  "formula": "Ta5Sn3B",
  "functional": "PBE",
  "state": "optimized geometry",
  "space_group": "P6_3/mcm (193)",
  "e_tot_ev_per_atom": -8.76,
  "lattice_angstrom": [[8.187, 0.000, 0.000], [-4.094, 7.090, 0.000], [0.000, 0.000, 5.491]],
  "species": ["B", "B", "Sn", "Sn", "Sn", "Sn", "Sn", "Sn", "Ta", "Ta", "Ta", "Ta", "Ta", "Ta", "Ta", "Ta", "Ta", "Ta"],
  "fractional_positions": [[0.000, 0.000, 0.000], [0.000, 0.000, 0.500], [0.598, 0.000, 0.250], [0.402, 0.402, 0.250], [0.000, 0.598, 0.250], [0.402, 0.000, 0.750], [0.000, 0.402, 0.750], [0.598, 0.598, 0.750], [0.667, 0.333, 0.000], [0.333, 0.667, 0.000], [0.231, 0.000, 0.250], [0.000, 0.231, 0.250], [0.769, 0.769, 0.250], [0.667, 0.333, 0.500], [0.333, 0.667, 0.500], [0.769, 0.000, 0.750], [0.231, 0.231, 0.750], [0.000, 0.769, 0.750]]
}